No. 1
5
Lattice="4.8822 0.0000 0.0000 0.0000 4.8822 0.0000 0.0000 0.0000 3.6189" Properties=species:S:1:pos:R:3 comment="IBrOF2 | Alexandria via LeMat-Bulk | SCAN | single point on PBEsol structure" dos_ef_per_ev_atom=0.714 energy_ev_per_atom=-13.754 mass_density_g_cm3=5.0 formation_energy_uncorrected_ev_per_atom=0.149 pbc="T T T"
I 0.0000 0.0000 0.0000
Br 2.4411 2.4411 1.8094
O 2.4411 2.4411 0.0000
F 0.0000 2.4411 1.8094
F 2.4411 0.0000 1.8094

***

No. 2
4
Lattice="-2.5391 2.5391 4.5993 2.5391 -2.5391 4.5993 2.5391 2.5391 -4.5993" Properties=species:S:1:pos:R:3 comment="SrTl2Pb | Alexandria via LeMat-Bulk | SCAN | single point on PBEsol structure" formation_enthalpy_0k_ev_per_atom=-0.3990 dos_ef_per_ev_atom=0.414 energy_ev_per_atom=-61.092 mass_density_g_cm3=9.9 pbc="T T T"
Sr 0.0000 0.0000 0.0000
Tl 2.5391 0.0000 2.2997
Tl 0.0000 2.5391 2.2997
Pb 0.0000 0.0000 4.5993

***

No. 3
4
Lattice="1.8454 1.0654 8.1693 -1.8454 1.0654 8.1693 0.0000 -2.1308 8.1693" Properties=species:S:1:pos:R:3 comment="SiTe2Ir | Alexandria via LeMat-Bulk | SCAN | single point on PBEsol structure" dos_ef_per_ev_atom=0.664 energy_ev_per_atom=-38.057 mass_density_g_cm3=8.2 formation_energy_uncorrected_ev_per_atom=0.848 pbc="T T T"
Si 0.0000 0.0000 0.0000
Te 0.0000 0.0000 9.7744
Te 0.0000 0.0000 14.7335
Ir 0.0000 0.0000 12.2540

***

No. 4
4
Lattice="1.6483 0.9517 10.6564 -1.6483 0.9517 10.6564 0.0000 -1.9033 10.6564" Properties=species:S:1:pos:R:3 comment="YSc3 | Alexandria via LeMat-Bulk | SCAN | single point on PBEsol structure" formation_enthalpy_0k_ev_per_atom=0.0992 dos_ef_per_ev_atom=1.536 energy_ev_per_atom=-17.539 mass_density_g_cm3=3.7 pbc="T T T"
Y 0.0000 0.0000 0.0000
Sc 0.0000 0.0000 7.8976
Sc 0.0000 0.0000 15.9846
Sc 0.0000 0.0000 24.0716

***

No. 5
4
Lattice="0.0000 3.1672 3.1672 3.1672 0.0000 3.1672 3.1672 3.1672 0.0000" Properties=species:S:1:pos:R:3 comment="YOsS2 | Alexandria via LeMat-Bulk | SCAN | single point on PBEsol structure" dos_ef_per_ev_atom=0.774 energy_ev_per_atom=-30.119 mass_density_g_cm3=9.0 formation_energy_uncorrected_ev_per_atom=-0.374 pbc="T T T"
Y 0.0000 0.0000 0.0000
Os 3.1672 3.1672 3.1672
S 1.5836 1.5836 1.5836
S 4.7508 4.7508 4.7508

***

No. 6
9
Lattice="7.4641 0.0000 0.0000 -3.7320 6.4641 0.0000 0.0000 0.0000 4.6015" Properties=species:S:1:pos:R:3 comment="YMgTl | Alexandria via LeMat-Bulk | SCAN | single point on PBEsol structure" formation_enthalpy_0k_ev_per_atom=-0.5982 dos_ef_per_ev_atom=0.083 energy_ev_per_atom=-35.656 mass_density_g_cm3=7.1 pbc="T T T"
Y -2.1256 3.6816 0.0000
Y 1.6065 2.7825 0.0000
Y 4.2511 0.0000 0.0000
Mg -0.9080 1.5728 2.3007
Mg 1.8161 0.0000 2.3007
Mg 2.8240 4.8913 2.3007
Tl 0.0000 0.0000 0.0000
Tl 0.0000 4.3094 2.3007
Tl 3.7320 2.1547 2.3007

***

No. 7
46
Lattice="12.6375 0.0000 0.0000 0.0000 12.6375 0.0000 0.0000 0.0000 3.9855" Properties=species:S:1:pos:R:3 comment="Ba3Ta4NbO15 | Alexandria via LeMat-Bulk | SCAN | single point on PBEsol structure" dos_ef_per_ev_atom=0.093 energy_ev_per_atom=-25.418 mass_density_g_cm3=7.7 formation_energy_uncorrected_ev_per_atom=-3.175 pbc="T T T"
Ba 0.0000 0.0000 0.0000
Ba 2.1108 4.2080 0.0000
Ba 4.2080 10.5268 0.0000
Ba 6.3188 6.3188 0.0000
Ba 8.4295 2.1108 0.0000
Ba 10.5268 8.4295 0.0000
Ta 0.9753 9.9522 1.9928
Ta 2.6853 0.9753 1.9928
Ta 3.6334 7.2940 1.9928
Ta 5.3435 3.6334 1.9928
Ta 7.2940 9.0041 1.9928
Ta 9.0041 5.3435 1.9928
Ta 9.9522 11.6622 1.9928
Ta 11.6622 2.6853 1.9928
Nb 0.0000 6.3188 1.9928
Nb 6.3188 0.0000 1.9928
O 0.0000 6.3188 0.0000
O 0.0866 4.3123 1.9928
O 0.8396 1.7679 1.9928
O 1.0106 10.0204 0.0000
O 1.7679 11.7980 1.9928
O 2.0065 6.2321 1.9928
O 2.6171 1.0106 0.0000
O 2.7809 9.0996 1.9928
O 3.5379 2.7809 1.9928
O 3.7016 7.3293 0.0000
O 4.3123 12.5509 1.9928
O 4.5509 5.4792 1.9928
O 5.3082 3.7016 0.0000
O 5.4792 8.0866 1.9928
O 6.2321 10.6311 1.9928
O 6.3188 0.0000 0.0000
O 6.4054 2.0065 1.9928
O 7.1583 4.5509 1.9928
O 7.3293 8.9359 0.0000
O 8.0866 7.1583 1.9928
O 8.3252 0.0866 1.9928
O 8.9359 5.3082 0.0000
O 9.0996 9.8566 1.9928
O 9.8566 3.5379 1.9928
O 10.0204 11.6270 0.0000
O 10.6311 6.4054 1.9928
O 10.8697 0.8396 1.9928
O 11.6270 2.6171 0.0000
O 11.7980 10.8697 1.9928
O 12.5509 8.3252 1.9928

***

No. 8
4
Lattice="2.8259 0.0000 0.0000 0.0000 4.5934 0.0000 0.0000 0.0000 5.2608" Properties=species:S:1:pos:R:3 comment="CaSi2W | Alexandria via LeMat-Bulk | SCAN | single point on PBEsol structure" dos_ef_per_ev_atom=0.507 energy_ev_per_atom=-24.367 mass_density_g_cm3=6.8 formation_energy_uncorrected_ev_per_atom=0.479 pbc="T T T"
Ca 0.0000 0.0000 0.0000
Si 0.0000 0.0000 2.6304
Si 1.4130 2.2967 0.0000
W 1.4130 2.2967 2.6304

***

No. 9
5
Lattice="6.2207 0.0000 0.0000 0.0000 6.2207 0.0000 0.0000 0.0000 6.2207" Properties=species:S:1:pos:R:3 comment="Ba3YMo | Alexandria via LeMat-Bulk | SCAN | single point on PBEsol structure" formation_enthalpy_0k_ev_per_atom=1.4405 dos_ef_per_ev_atom=1.137 energy_ev_per_atom=-34.835 mass_density_g_cm3=4.1 pbc="T T T"
Ba 0.0000 0.0000 3.1103
Ba 0.0000 3.1103 0.0000
Ba 3.1103 0.0000 0.0000
Y 0.0000 0.0000 0.0000
Mo 3.1103 3.1103 3.1103

***

No. 10
5
Lattice="4.6775 0.0000 0.0000 0.0000 4.6775 0.0000 0.0000 0.0000 4.6775" Properties=species:S:1:pos:R:3 comment="GeIr3Pd | Alexandria via LeMat-Bulk | SCAN | single point on PBEsol structure" formation_enthalpy_0k_ev_per_atom=2.2234 dos_ef_per_ev_atom=0.830 energy_ev_per_atom=-50.809 mass_density_g_cm3=12.3 pbc="T T T"
Ge 0.0000 0.0000 0.0000
Ir 0.0000 2.3387 2.3387
Ir 2.3387 0.0000 2.3387
Ir 2.3387 2.3387 0.0000
Pd 2.3387 2.3387 2.3387

***

No. 11
4
Lattice="3.4522 0.0000 0.0000 0.0000 3.4522 0.0000 0.0000 0.0000 6.3509" Properties=species:S:1:pos:R:3 comment="LaAgOs2 | Alexandria via LeMat-Bulk | SCAN | single point on PBEsol structure" formation_enthalpy_0k_ev_per_atom=0.8854 dos_ef_per_ev_atom=1.138 energy_ev_per_atom=-53.673 mass_density_g_cm3=13.8 pbc="T T T"
La 0.0000 0.0000 0.0000
Ag 0.0000 0.0000 3.1755
Os 1.7261 1.7261 1.9233
Os 1.7261 1.7261 4.4277

***

No. 12
5
Lattice="1.6045 0.9264 15.9967 -1.6045 0.9264 15.9967 0.0000 -1.8527 15.9967" Properties=species:S:1:pos:R:3 comment="K2Zr3 | Alexandria via LeMat-Bulk | SCAN | single point on PBEsol structure" formation_enthalpy_0k_ev_per_atom=0.6682 dos_ef_per_ev_atom=1.177 energy_ev_per_atom=-21.083 mass_density_g_cm3=4.1 pbc="T T T"
K 0.0000 0.0000 4.6136
K 0.0000 0.0000 43.3766
Zr 0.0000 0.0000 14.8031
Zr 0.0000 0.0000 23.9951
Zr 0.0000 0.0000 33.1872

***

No. 13
22
Lattice="6.1496 0.0000 0.0000 0.0000 6.2374 0.0000 -0.7452 0.0000 8.4478" Properties=species:S:1:pos:R:3 comment="Al9Co2 | Alexandria via LeMat-Bulk | SCAN | single point on PBEsol structure" formation_enthalpy_0k_ev_per_atom=-0.3256 dos_ef_per_ev_atom=0.254 energy_ev_per_atom=-9.814 mass_density_g_cm3=3.7 pbc="T T T"
Al 0.0000 0.0000 0.0000
Al -0.3726 3.1187 4.2239
Al -0.0102 1.3138 6.1695
Al 0.3624 1.8049 1.9457
Al 1.2855 3.8301 0.3702
Al 0.9130 5.5259 4.5941
Al 1.6608 1.1971 8.4230
Al 2.0334 1.9216 4.1991
Al 1.9254 3.3389 6.4824
Al 2.2980 6.0171 2.2586
Al 3.1065 0.2203 6.1892
Al 3.4791 2.8984 1.9653
Al 3.3711 4.3157 4.2487
Al 3.7437 5.0403 0.0248
Al 4.4915 0.7115 3.8537
Al 4.1189 2.4072 8.0776
Al 5.0421 4.4325 6.5021
Al 5.4147 4.9235 2.2782
Co 1.3760 3.8538 2.8177
Co 1.0034 5.5022 7.0415
Co 4.4010 0.7351 1.4062
Co 4.0284 2.3835 5.6301

***

No. 14
5
Lattice="4.7153 0.0000 0.0000 0.0000 4.7153 0.0000 0.0000 0.0000 4.7153" Properties=species:S:1:pos:R:3 comment="LaTiPd3 | Alexandria via LeMat-Bulk | SCAN | single point on PBEsol structure" formation_enthalpy_0k_ev_per_atom=-0.3204 dos_ef_per_ev_atom=0.709 energy_ev_per_atom=-31.812 mass_density_g_cm3=8.0 pbc="T T T"
La 0.0000 0.0000 0.0000
Ti 2.3577 2.3577 2.3577
Pd 0.0000 2.3577 2.3577
Pd 2.3577 0.0000 2.3577
Pd 2.3577 2.3577 0.0000

***

No. 15
16
Lattice="-3.8256 3.8256 6.6752 3.8256 -3.8256 6.6752 3.8256 3.8256 -6.6752" Properties=species:S:1:pos:R:3 comment="Dy5SbPd2 | Alexandria via LeMat-Bulk | SCAN | single point on PBEsol structure" dos_ef_per_ev_atom=0.724 energy_ev_per_atom=-43.590 mass_density_g_cm3=9.7 formation_energy_uncorrected_ev_per_atom=-0.866 pbc="T T T"
Dy 0.0000 0.0000 0.0000
Dy 5.0255 1.1999 -1.9009
Dy 1.1999 2.6257 -1.9009
Dy 5.0255 1.1999 1.9009
Dy 1.1999 2.6257 1.9009
Dy 0.0000 0.0000 6.6752
Dy 2.6257 1.1999 4.7743
Dy -1.1999 2.6257 4.7743
Dy 2.6257 1.1999 8.5762
Dy -1.1999 2.6257 8.5762
Sb 0.0000 0.0000 3.3376
Sb 0.0000 0.0000 10.0128
Pd 2.7936 1.0320 0.0000
Pd 2.7936 -1.0320 6.6752
Pd 1.0320 4.8575 0.0000
Pd 1.0320 2.7936 6.6752

***

No. 16
4
Lattice="0.0000 3.0833 3.0833 3.0833 0.0000 3.0833 3.0833 3.0833 0.0000" Properties=species:S:1:pos:R:3 comment="ScRu2Rh | Alexandria via LeMat-Bulk | SCAN | single point on PBEsol structure" formation_enthalpy_0k_ev_per_atom=-0.0288 dos_ef_per_ev_atom=0.912 energy_ev_per_atom=-29.444 mass_density_g_cm3=9.9 pbc="T T T"
Sc 0.0000 0.0000 0.0000
Ru 1.5416 1.5416 1.5416
Ru 4.6249 4.6249 4.6249
Rh 3.0833 3.0833 3.0833

***

No. 17
5
Lattice="4.9735 0.0000 0.0000 0.0000 4.9735 0.0000 0.0000 0.0000 3.7076" Properties=species:S:1:pos:R:3 comment="MgAuS2N | Alexandria via LeMat-Bulk | SCAN | single point on PBEsol structure" dos_ef_per_ev_atom=0.319 energy_ev_per_atom=-19.961 mass_density_g_cm3=5.4 formation_energy_uncorrected_ev_per_atom=0.575 pbc="T T T"
Mg 0.0000 0.0000 0.0000
Au 2.4867 2.4867 1.8538
S 0.0000 2.4867 1.8538
S 2.4867 0.0000 1.8538
N 2.4867 2.4867 0.0000

***

No. 18
15
Lattice="4.5359 2.6188 3.8475 -4.5359 2.6188 3.8475 0.0000 -5.2376 3.8475" Properties=species:S:1:pos:R:3 comment="TlMo6S8 | Alexandria via LeMat-Bulk | SCAN | single point on PBEsol structure" dos_ef_per_ev_atom=0.689 energy_ev_per_atom=-24.629 mass_density_g_cm3=6.3 formation_energy_uncorrected_ev_per_atom=-0.716 pbc="T T T"
Tl 0.0000 0.0000 0.0000
Mo -0.8633 -1.2916 4.6074
Mo -0.6869 1.3935 4.6074
Mo -1.5503 0.1019 6.9350
Mo 1.5503 -0.1019 4.6074
Mo 0.6869 -1.3935 6.9350
Mo 0.8633 1.2916 6.9349
S -2.7875 0.2074 4.8301
S 0.0000 0.0000 2.8277
S -1.5733 -2.3104 6.7123
S 1.2142 -2.5178 4.8301
S -1.2142 2.5178 6.7123
S 1.5733 2.3104 4.8301
S 0.0000 0.0000 8.7147
S 2.7875 -0.2073 6.7123

***

No. 19
12
Lattice="6.2753 0.0000 0.0000 0.0000 6.2753 0.0000 0.0000 0.0000 6.2753" Properties=species:S:1:pos:R:3 comment="AgCl2 | Alexandria via LeMat-Bulk | SCAN | single point on PBEsol structure" dos_ef_per_ev_atom=1.085 energy_ev_per_atom=-16.138 mass_density_g_cm3=4.8 formation_energy_uncorrected_ev_per_atom=-0.364 pbc="T T T"
Ag 0.0000 0.0000 0.0000
Ag 0.0000 3.1376 3.1376
Ag 3.1376 0.0000 3.1376
Ag 3.1376 3.1376 0.0000
Cl 0.9769 4.1145 5.2984
Cl 0.9769 5.2984 2.1608
Cl 2.1608 0.9769 5.2984
Cl 2.1608 2.1608 2.1608
Cl 4.1145 4.1145 4.1145
Cl 4.1145 5.2984 0.9769
Cl 5.2984 0.9769 4.1145
Cl 5.2984 2.1608 0.9769

***

No. 20
4
Lattice="0.0000 3.7133 3.7133 3.7133 0.0000 3.7133 3.7133 3.7133 0.0000" Properties=species:S:1:pos:R:3 comment="ZrTe2Pb | Alexandria via LeMat-Bulk | SCAN | single point on PBEsol structure" dos_ef_per_ev_atom=1.321 energy_ev_per_atom=-45.086 mass_density_g_cm3=9.0 formation_energy_uncorrected_ev_per_atom=0.159 pbc="T T T"
Zr 0.0000 0.0000 0.0000
Te 3.7133 3.7133 3.7133
Te 5.5700 5.5700 5.5700
Pb 1.8567 1.8567 1.8567